# PmPrNdDy

A relaxed structure of PmPrNdDy (PBE, Alexandria).

Computed properties:
Distance to the lowest polymorph of the same formula in eV per formula unit: 0.00
Final energy in eV/atom: -4.709
Magnetization in μB/cell: 0.000
V in Å³/cell: 137.5

Cell lengths 5.161, 5.163, 6.319 Å; angles 114.11, 114.10, 90.00 degrees
Fractional positions:
1 Nd 0.196 0.696 0.391
2 Pm 0.695 0.195 0.391
3 Dy 0.946 0.946 0.891
4 Pr 0.446 0.446 0.891

=====

# PmPr2Nd6Dy

A relaxed structure of PmPr2Nd6Dy (PBE, Alexandria).

Computed properties:
Final energy in eV/atom: -4.640
Magnetization in μB/cell: 0.000
V in Å³/cell: 705.4

Cell lengths 9.980, 8.998, 8.998 Å; angles 117.92, 94.58, 94.58 degrees
Fractional positions:
1 Dy 0.750 0.593 0.407
2 Nd 0.945 0.880 0.253
3 Dy 0.250 0.407 0.593
4 Nd 0.189 0.573 0.016
5 Nd 0.880 0.296 0.504
6 Nd 0.120 0.704 0.496
7 Pr 0.042 0.294 0.195
8 Nd 0.811 0.427 0.984
9 Nd 0.555 0.747 0.120
10 Nd 0.055 0.120 0.747
11 Pm 0.250 0.982 0.018
12 Pr 0.958 0.706 0.805
13 Nd 0.380 0.504 0.296
14 Nd 0.445 0.253 0.880
15 Pr 0.542 0.195 0.294
16 Nd 0.620 0.496 0.704
17 Pr 0.458 0.805 0.706
18 Pm 0.750 0.018 0.982
19 Nd 0.311 0.984 0.427
20 Nd 0.689 0.016 0.573

=====

# Pm2Pr4NdDy2

A relaxed structure of Pm2Pr4NdDy2 (PBE, Alexandria).

Computed properties:
Final energy in eV/atom: -4.716
Magnetization in μB/cell: 0.000
V in Å³/cell: 311.5

Cell lengths 5.180, 8.188, 8.165 Å; angles 107.52, 90.00, 108.44 degrees
Fractional positions:
1 Pr 0.555 0.109 0.331
2 Dy 0.332 0.664 0.001
3 Pr 0.777 0.555 0.670
4 Nd 0.000 0.000 0.000
5 Pr 0.445 0.891 0.669
6 Dy 0.668 0.336 0.999
7 Pm 0.112 0.223 0.669
8 Pm 0.888 0.777 0.331
9 Pr 0.223 0.445 0.330

=====

# Pm2PrNd2Dy

A relaxed structure of Pm2PrNd2Dy (PBE, Alexandria).

Computed properties:
Final energy in eV/atom: -4.681
Magnetization in μB/cell: 0.000
V in Å³/cell: 411.3

Cell lengths 5.782, 7.107, 10.009 Å; angles 90.00, 90.00, 90.00 degrees
Fractional positions:
1 Pr 0.000 0.508 0.500
2 Dy 0.500 0.258 0.665
3 Pm 0.500 0.758 0.670
4 Nd 0.000 0.257 0.169
5 Nd 0.500 0.508 0.000
6 Dy 0.500 0.758 0.335
7 Nd 0.000 0.757 0.831
8 Pm 0.500 0.258 0.330
9 Nd 0.500 0.008 0.000
10 Pm 0.000 0.257 0.836
11 Pm 0.000 0.757 0.164
12 Pr 0.000 0.008 0.500

=====

What is the final energy in the third record?
-4.716 eV/atom

=====

The lowest V belongs to which entry?
PmPrNdDy

=====

Among the records above, which one has the lowest V?
PmPrNdDy